1.
Tl2CdOs: optimized geometry, PBE.

Cell: 6.6213 6.6213 7.9423 Å, 65.36 65.36 90.00°
Last column: nearest neighbours and their distance in Å.
Atoms (fractional coordinates):
Tl 0.6895 0.1250 0.2500  2 Os 2.61
Tl 0.0605 0.6250 0.2500  2 Os 2.61
Tl 0.3750 0.3105 0.7500  2 Os 2.61
Tl 0.8750 0.9395 0.7500  2 Os 2.61
Os 0.0000 0.0000 0.0000  4 Tl 2.61
Os 0.7500 0.2500 0.5000  4 Tl 2.61
Cd 0.5000 0.5000 0.0000  4 Tl 3.11
Cd 0.2500 0.7500 0.5000  4 Tl 3.11

---

2.
Tl2CdOs: optimized geometry, PBE.

Cell: 4.9918 4.9918 4.9918 Å, 60.00 60.00 60.00°
Last column: nearest neighbours and their distance in Å.
Atoms (fractional coordinates):
Tl 0.0000 0.0000 0.0000  4 Tl 3.06, 4 Os 3.06
Tl 0.2500 0.2500 0.2500  4 Cd 3.06, 4 Tl 3.06
Os 0.7500 0.7500 0.7500  4 Cd 3.06, 4 Tl 3.06
Cd 0.5000 0.5000 0.5000  4 Os 3.06, 4 Tl 3.06

---

3.
TlCdOs4: optimized geometry, PBE.

Cell: 5.2990 5.2990 5.2990 Å, 60.00 60.00 60.00°
Last column: nearest neighbours and their distance in Å.
Atoms (fractional coordinates):
Tl 0.7500 0.7500 0.7500  12 Os 3.11, 4 Cd 3.24
Cd 0.0000 0.0000 0.0000  12 Os 3.11, 4 Tl 3.24
Os 0.8756 0.3748 0.3748  6 Os 2.65
Os 0.3748 0.3748 0.8756  6 Os 2.65
Os 0.3748 0.8756 0.3748  6 Os 2.65
Os 0.3748 0.3748 0.3748  6 Os 2.65

---

4.
Tl2CdOs: optimized geometry, PBE.

Cell: 4.9813 3.1562 5.9581 Å, 69.40 90.00 90.00°
Last column: nearest neighbours and their distance in Å.
Atoms (fractional coordinates):
Tl 0.0000 0.8445 0.9909  3 Cd 2.90-3.11, 2 Os 2.92, 4 Tl 3.16-3.17
Tl 0.5000 0.2366 0.2391  2 Os 2.78-2.92
Os 0.5000 0.8344 0.7368  4 Tl 2.78-2.92, 2 Cd 2.99
Cd 0.0000 0.5846 0.5333  3 Tl 2.90-3.11, 2 Os 2.99, 2 Cd 3.16

---

5.
TlCdOs: optimized geometry, PBE.

Cell: 7.0994 7.0994 7.0994 Å, 155.48 155.48 34.96°
Last column: nearest neighbours and their distance in Å.
Atoms (fractional coordinates):
Tl 0.6834 0.6834 0.0000  4 Os 2.99, 4 Tl 3.02
Os 0.3379 0.3379 0.0000  4 Cd 2.86, 4 Tl 2.99, 4 Os 3.02
Cd 0.9787 0.9787 0.0000  4 Os 2.86, 4 Cd 3.02

---

6.
Tl2CdOs: optimized geometry, PBE.

Cell: 7.6225 7.6225 4.7839 Å, 71.64 71.64 22.41°
Last column: nearest neighbours and their distance in Å.
Atoms (fractional coordinates):
Tl 0.0738 0.0738 0.9263  2 Os 2.90, 2 Tl 2.96
Tl 0.4262 0.4262 0.5737  2 Os 2.90, 2 Tl 2.96
Os 0.7500 0.7500 0.7500  4 Cd 2.81, 4 Tl 2.90, 2 Os 2.96
Cd 0.2500 0.2500 0.2500  4 Os 2.81, 2 Cd 2.96

---

7.
Tl2CdOs: optimized geometry, PBE.

Cell: 3.0168 3.0168 11.1772 Å, 90.00 90.00 114.64°
Last column: nearest neighbours and their distance in Å.
Atoms (fractional coordinates):
Tl 0.0000 0.0000 0.9576  2 Os 2.94, 6 Tl 3.02-3.26
Tl 0.5000 0.5000 0.2692  6 Tl 3.02-3.26
Os 0.5000 0.5000 0.7388  2 Cd 2.81, 2 Tl 2.94, 4 Os 3.02
Cd 0.0000 0.0000 0.5344  2 Os 2.81, 4 Cd 3.02

---

8.
Tl2CdOs: optimized geometry, PBE.

Cell: 3.1751 3.1751 9.0593 Å, 90.00 90.00 90.00°
Last column: nearest neighbours and their distance in Å.
Atoms (fractional coordinates):
Tl 0.0000 0.0000 0.9482  4 Os 2.92, 4 Tl 3.18
Tl 0.5000 0.5000 0.2592  4 Tl 3.18, 4 Cd 3.47
Os 0.5000 0.5000 0.7414  4 Cd 2.83, 4 Tl 2.92
Cd 0.0000 0.0000 0.5512  4 Os 2.83

---

9.
Tl2CdOs: optimized geometry, PBE.

Cell: 10.6962 10.6962 10.6962 Å, 16.78 16.78 16.78°
Last column: nearest neighbours and their distance in Å.
Atoms (fractional coordinates):
Tl 0.0115 0.0115 0.0115  3 Os 2.94, 6 Tl 3.12
Tl 0.2483 0.2483 0.2483  6 Tl 3.12, 3 Cd 3.45
Os 0.7517 0.7517 0.7517  3 Cd 2.86, 3 Tl 2.94, 6 Os 3.12
Cd 0.4885 0.4885 0.4885  3 Os 2.86, 6 Cd 3.12

---

10.
Tl2CdOs: optimized geometry, PBE.

Cell: 3.1688 5.4897 4.9576 Å, 90.00 90.00 90.00°
Last column: nearest neighbours and their distance in Å.
Atoms (fractional coordinates):
Tl 0.0000 0.0000 0.0000  4 Cd 2.94, 6 Tl 3.17
Tl 0.5000 0.5000 0.0000  4 Os 2.94, 6 Tl 3.17
Os 0.0000 0.5000 0.5000  4 Tl 2.94, 2 Os 3.17, 4 Cd 3.17
Cd 0.5000 0.0000 0.5000  4 Tl 2.94, 2 Cd 3.17, 4 Os 3.17

---

11.
Tl2CdOs: optimized geometry, PBE.

Cell: 5.4766 5.4766 5.4766 Å, 134.37 134.37 66.51°
Last column: nearest neighbours and their distance in Å.
Atoms (fractional coordinates):
Tl 0.0000 0.0000 0.0000  4 Cd 3.00, 4 Tl 3.12, 4 Os 3.12
Tl 0.2500 0.7500 0.5000  4 Os 3.00, 4 Tl 3.12, 4 Cd 3.12
Os 0.7500 0.2500 0.5000  8 Tl 3.00-3.12, 4 Cd 3.12
Cd 0.5000 0.5000 0.0000  8 Tl 3.00-3.12, 4 Os 3.12

---

12.
Tl2CdOs: optimized geometry, PBE.

Cell: 3.1608 3.1608 9.0394 Å, 90.00 90.00 90.00°
Last column: nearest neighbours and their distance in Å.
Atoms (fractional coordinates):
Tl 0.0000 0.0000 0.9585  4 Os 2.92, 4 Tl 3.16
Tl 0.0000 0.0000 0.5415  4 Os 2.92, 4 Tl 3.16
Os 0.5000 0.5000 0.7500  8 Tl 2.92, 4 Os 3.16
Cd 0.5000 0.5000 0.2500  4 Cd 3.16, 8 Tl 3.46

---

13.
TlCdOs: optimized geometry, PBE.

Cell: 9.0724 8.8460 2.9053 Å, 85.11 76.29 18.61°
Last column: nearest neighbours and their distance in Å.
Atoms (fractional coordinates):
Tl 0.6858 0.6858 0.3142  6 Tl 2.91-2.96, 2 Os 3.01
Os 0.3363 0.3363 0.6637  2 Cd 2.88, 6 Os 2.91-2.96, 2 Tl 3.01
Cd 0.9778 0.9778 0.0222  2 Os 2.88, 6 Cd 2.91-2.96

---

14.
TlCdOs: optimized geometry, PBE.

Cell: 5.3900 5.3900 5.3900 Å, 148.90 132.99 57.44°
Last column: nearest neighbours and their distance in Å.
Atoms (fractional coordinates):
Tl 0.6731 0.6731 0.0000  2 Tl 2.89, 5 Cd 2.96-3.13, 5 Os 3.03-3.15
Os 0.3403 0.3403 0.0000  2 Os 2.89, 4 Cd 2.94, 5 Tl 3.03-3.15
Cd 0.9866 0.9866 0.0000  2 Cd 2.89, 4 Os 2.94, 5 Tl 2.96-3.13

---

15.
Tl2CdOs: optimized geometry, PBE.

Cell: 4.9320 4.9320 4.9320 Å, 60.00 60.00 60.00°
Last column: nearest neighbours and their distance in Å.
Atoms (fractional coordinates):
Tl 0.2500 0.2500 0.2500  4 Cd 3.02, 4 Os 3.02
Tl 0.7500 0.7500 0.7500  4 Cd 3.02, 4 Os 3.02
Os 0.5000 0.5000 0.5000  8 Tl 3.02
Cd 0.0000 0.0000 0.0000  8 Tl 3.02

---

16.
Tl2CdOs: optimized geometry, PBE.

Cell: 3.4880 4.1057 5.9260 Å, 90.00 90.00 90.00°
Last column: nearest neighbours and their distance in Å.
Atoms (fractional coordinates):
Tl 0.0000 0.0000 0.9759  1 Cd 2.74, 4 Os 3.01
Tl 0.5000 0.5000 0.2614  2 Os 2.89-3.03, 4 Cd 3.08, 4 Tl 3.18
Os 0.5000 0.5000 0.7497  6 Tl 2.89-3.03, 4 Cd 3.04
Cd 0.0000 0.0000 0.5130  1 Tl 2.74, 4 Os 3.04

---

17.
Tl3CdOs: optimized geometry, PBE.

Cell: 5.3456 5.3456 5.3456 Å, 90.00 90.00 90.00°
Last column: nearest neighbours and their distance in Å.
Atoms (fractional coordinates):
Tl 0.0000 0.5000 0.0000  2 Os 2.67
Tl 0.0000 0.0000 0.5000  2 Os 2.67
Tl 0.5000 0.0000 0.0000  2 Os 2.67
Os 0.0000 0.0000 0.0000  6 Tl 2.67
Cd 0.5000 0.5000 0.5000  12 Tl 3.78

---

18.
Tm6Cd2Os: optimized geometry, PBE.

Cell: 5.0235 7.0848 8.5123 Å, 114.59 107.17 90.00°
Last column: nearest neighbours and their distance in Å.
Atoms (fractional coordinates):
Tm 0.1543 0.3943 0.3091  1 Os 2.83, 3 Cd 3.12-3.13
Tm 0.8457 0.0852 0.6909  1 Os 2.83, 3 Cd 3.12-3.13
Tm 0.8457 0.6057 0.6909  1 Os 2.83, 3 Cd 3.12-3.13
Tm 0.5000 0.2255 0.0000  2 Os 2.98, 2 Cd 3.11, 1 Tm 3.20
Tm 0.1543 0.9148 0.3091  1 Os 2.83, 3 Cd 3.12-3.13
Tm 0.5000 0.7745 0.0000  2 Os 2.98, 2 Cd 3.11, 1 Tm 3.20
Cd 0.6657 0.6660 0.3320  8 Tm 3.11-3.13
Cd 0.3343 0.3340 0.6680  8 Tm 3.11-3.13
Os 0.0000 0.0000 0.0000  8 Tm 2.83-2.98

---

19.
Tm4CdOs: optimized geometry, PBE.

Cell: 4.9418 4.9531 8.4471 Å, 72.93 72.99 60.08°
Last column: nearest neighbours and their distance in Å.
Atoms (fractional coordinates):
Tm 0.6351 0.6354 0.0944  3 Os 2.95-2.96, 1 Cd 3.22, 3 Tm 3.23
Tm 0.3649 0.3646 0.9056  3 Os 2.95-2.96, 1 Cd 3.22, 3 Tm 3.23
Tm 0.1148 0.1134 0.6569  1 Os 2.73
Tm 0.8852 0.8866 0.3431  1 Os 2.73
Cd 0.5000 0.5000 0.5000  8 Tm 3.12-3.22
Os 0.0000 0.0000 0.0000  8 Tm 2.73-2.96

---

20.
Tm3CdOs: optimized geometry, PBE.

Cell: 5.7529 5.7529 8.6519 Å, 101.93 101.92 112.24°
Last column: nearest neighbours and their distance in Å.
Atoms (fractional coordinates):
Tm 0.2985 0.7985 0.0970  4 Os 2.98, 2 Tm 3.31
Tm 0.7015 0.2015 0.9030  4 Os 2.98, 2 Tm 3.31
Tm 0.0772 0.1997 0.2769  2 Os 2.80
Tm 0.9228 0.8003 0.7231  2 Os 2.80
Tm 0.6996 0.5772 0.2769  2 Os 2.80
Tm 0.3004 0.4228 0.7231  2 Os 2.80
Cd 0.7102 0.2102 0.5000  1 Cd 2.70
Cd 0.2898 0.7898 0.5000  1 Cd 2.70
Os 0.2500 0.2500 0.0000  8 Tm 2.80-2.98
Os 0.7500 0.7500 0.0000  8 Tm 2.80-2.98

---

21.
Tm6Cd2Os: optimized geometry, PBE.

Cell: 3.9562 8.3248 8.3248 Å, 120.00 90.00 90.00°
Last column: nearest neighbours and their distance in Å.
Atoms (fractional coordinates):
Tm 0.5000 0.6144 0.0000  1 Os 3.21, 4 Cd 3.25, 4 Tm 3.44
Tm 0.5000 0.3857 0.3857  1 Os 3.21, 4 Cd 3.25-3.26, 4 Tm 3.44
Tm 0.5000 0.0000 0.6143  1 Os 3.21, 4 Cd 3.25-3.26, 4 Tm 3.44
Tm 0.0000 0.2432 0.0000  2 Os 2.83
Tm 0.0000 0.7568 0.7567  2 Os 2.83
Tm 0.0000 0.0001 0.2433  2 Os 2.83
Cd 0.0000 0.3334 0.6667  9 Tm 3.22-3.26
Cd 0.0000 0.6667 0.3333  9 Tm 3.22-3.26
Os 0.5000 0.9999 0.0000  6 Tm 2.83

---

22.
Tm8CdOs2: optimized geometry, PBE.

Cell: 5.1480 6.8715 8.9084 Å, 112.69 106.78 90.01°
Last column: nearest neighbours and their distance in Å.
Atoms (fractional coordinates):
Tm 0.6366 0.2709 0.9091  2 Os 2.92, 2 Tm 3.21
Tm 0.9694 0.0178 0.5753  1 Cd 2.98, 3 Os 3.02-3.16, 3 Tm 3.23
Tm 0.3032 0.3516 0.2429  1 Cd 2.98, 3 Os 3.02-3.16, 3 Tm 3.23
Tm 0.7472 0.9334 0.1308  1 Os 2.72
Tm 0.3458 0.8542 0.3282  3 Os 2.83-2.97
Tm 0.9268 0.4351 0.4900  3 Os 2.83-2.97
Tm 0.1368 0.5492 0.9090  1 Cd 2.93, 2 Tm 3.21
Tm 0.5256 0.7117 0.6873  1 Os 2.72
Cd 0.1365 0.9751 0.9091  7 Tm 2.93-3.27
Os 0.8056 0.6199 0.2480  6 Tm 2.72-3.02
Os 0.4666 0.2811 0.5703  6 Tm 2.72-3.02

---

23.
Tm5Cd2Os2: optimized geometry, PBE.

Cell: 7.3550 7.4612 8.9384 Å, 90.00 65.71 90.00°
Last column: nearest neighbours and their distance in Å.
Atoms (fractional coordinates):
Tm 0.0000 0.0000 0.0000  4 Os 2.95-2.96
Tm 0.5000 0.5000 0.0000  4 Os 2.95-2.96
Tm 0.4386 0.1810 0.7622  3 Os 2.85-3.01, 1 Cd 3.19
Tm 0.7993 0.8190 0.7622  3 Os 2.85-3.01, 1 Cd 3.19
Tm 0.2993 0.6810 0.7622  3 Os 2.85-3.01, 1 Cd 3.19
Tm 0.9386 0.3190 0.7622  3 Os 2.85-3.01, 1 Cd 3.19
Tm 0.5614 0.8190 0.2378  3 Os 2.85-3.01, 1 Cd 3.19
Tm 0.2007 0.1810 0.2378  3 Os 2.85-3.01, 1 Cd 3.19
Tm 0.7007 0.3190 0.2378  3 Os 2.85-3.01, 1 Cd 3.19
Tm 0.0614 0.6810 0.2378  3 Os 2.85-3.01, 1 Cd 3.19
Cd 0.2233 0.0000 0.5535  6 Tm 3.19-3.21
Cd 0.7233 0.5000 0.5535  6 Tm 3.19-3.21
Cd 0.7767 0.0000 0.4465  6 Tm 3.19-3.21
Cd 0.2767 0.5000 0.4465  6 Tm 3.19-3.21
Os 0.1176 0.3791 0.0000  1 Os 2.50
Os 0.8824 0.6209 0.0000  1 Os 2.50
Os 0.3824 0.8791 0.0000  1 Os 2.50
Os 0.6176 0.1209 0.0000  1 Os 2.50

---

24.
Tm4Cd3Os: optimized geometry, PBE.

Cell: 3.4442 3.4442 15.9582 Å, 90.00 90.00 90.00°
Last column: nearest neighbours and their distance in Å.
Atoms (fractional coordinates):
Tm 0.0000 0.0000 0.8992  4 Os 2.92, 1 Tm 3.22
Tm 0.0000 0.0000 0.1008  4 Os 2.92, 1 Tm 3.22
Tm 0.0000 0.0000 0.3679  8 Cd 3.19-3.22, 4 Tm 3.44
Tm 0.0000 0.0000 0.6321  8 Cd 3.19-3.22, 4 Tm 3.44
Os 0.5000 0.5000 0.0000  8 Tm 2.92
Cd 0.5000 0.5000 0.2393  8 Tm 3.19-3.29, 4 Cd 3.44
Cd 0.5000 0.5000 0.5000  8 Tm 3.22, 4 Cd 3.44
Cd 0.5000 0.5000 0.7607  8 Tm 3.19-3.29, 4 Cd 3.44

---

25.
Tm6Cd3Os: optimized geometry, PBE.

Cell: 5.1840 9.0156 11.2820 Å, 108.58 90.00 90.00°
Last column: nearest neighbours and their distance in Å.
Atoms (fractional coordinates):
Tm 0.2500 0.4676 0.0861  7 Cd 3.03-3.37
Tm 0.7500 0.5324 0.9139  7 Cd 3.03-3.37
Tm 0.2500 0.1219 0.1558  3 Cd 3.17-3.26, 6 Tm 3.32-3.45
Tm 0.7500 0.8781 0.8442  3 Cd 3.17-3.26, 6 Tm 3.32-3.45
Tm 0.2500 0.6918 0.6662  1 Os 2.80, 2 Cd 3.11
Tm 0.7500 0.3082 0.3338  1 Os 2.80, 2 Cd 3.11
Tm 0.2500 0.2175 0.4954  3 Os 2.87-3.06, 1 Cd 3.12
Tm 0.7500 0.7825 0.5046  3 Os 2.87-3.06, 1 Cd 3.12
Tm 0.2500 0.8501 0.3327  3 Os 2.82-3.06
Tm 0.7500 0.1499 0.6673  3 Os 2.82-3.06
Tm 0.2500 0.1119 0.8521  1 Os 2.77, 1 Cd 3.09
Tm 0.7500 0.8881 0.1479  1 Os 2.77, 1 Cd 3.09
Cd 0.2500 0.5094 0.3711  6 Tm 3.11-3.35, 2 Cd 3.28
Cd 0.7500 0.4906 0.6289  6 Tm 3.11-3.35, 2 Cd 3.28
Cd 0.2500 0.4140 0.7784  6 Tm 3.03-3.35, 3 Cd 3.27-3.28
Cd 0.7500 0.5860 0.2216  6 Tm 3.03-3.35, 3 Cd 3.27-3.28
Cd 0.2500 0.7718 0.9731  9 Tm 3.17-3.37, 1 Cd 3.27
Cd 0.7500 0.2282 0.0269  9 Tm 3.17-3.37, 1 Cd 3.27
Os 0.2500 0.9628 0.5959  8 Tm 2.77-3.06
Os 0.7500 0.0372 0.4041  8 Tm 2.77-3.06

---

26.
Tm4CdOs: optimized geometry, PBE.

Cell: 9.5158 9.5158 9.5158 Å, 60.00 60.00 60.00°
Last column: nearest neighbours and their distance in Å.
Atoms (fractional coordinates):
Tm 0.4033 0.4033 0.4033  3 Os 2.80
Tm 0.7902 0.4033 0.4033  3 Os 2.80
Tm 0.4033 0.7902 0.4033  3 Os 2.80
Tm 0.4033 0.4033 0.7902  3 Os 2.80
Tm 0.5598 0.5598 0.9402  2 Os 2.74
Tm 0.9402 0.9402 0.5598  2 Os 2.74
Tm 0.5598 0.9402 0.5598  2 Os 2.74
Tm 0.9402 0.5598 0.9402  2 Os 2.74
Tm 0.9402 0.5598 0.5598  2 Os 2.74
Tm 0.5598 0.9402 0.9402  2 Os 2.74
Tm 0.1923 0.1923 0.8077  2 Cd 3.24, 6 Tm 3.38-3.55, 2 Os 3.39
Tm 0.8077 0.8077 0.1923  2 Cd 3.24, 6 Tm 3.38-3.55, 2 Os 3.39
Tm 0.1923 0.8077 0.1923  2 Cd 3.24, 6 Tm 3.38-3.55, 2 Os 3.39
Tm 0.8077 0.1923 0.8077  2 Cd 3.24, 6 Tm 3.38-3.55, 2 Os 3.39
Tm 0.8077 0.1923 0.1923  2 Cd 3.24, 6 Tm 3.38-3.55, 2 Os 3.39
Tm 0.1923 0.8077 0.8077  2 Cd 3.24, 6 Tm 3.38-3.55, 2 Os 3.39
Cd 0.1693 0.1693 0.1693  3 Cd 3.07, 6 Tm 3.24-3.44
Cd 0.4922 0.1693 0.1693  3 Cd 3.07, 6 Tm 3.24-3.44
Cd 0.1693 0.4922 0.1693  3 Cd 3.07, 6 Tm 3.24-3.44
Cd 0.1693 0.1693 0.4922  3 Cd 3.07, 6 Tm 3.24-3.44
Os 0.6105 0.6105 0.6105  6 Tm 2.74-2.80
Os 0.1685 0.6105 0.6105  6 Tm 2.74-2.80
Os 0.6105 0.1685 0.6105  6 Tm 2.74-2.80
Os 0.6105 0.6105 0.1685  6 Tm 2.74-2.80

---

Record-wise ΔH_f (0 K) values, in eV/f.u.: 4.74 3.80 5.56 3.04 2.53 2.21 2.73 2.57 2.65 3.35 3.15 3.01 2.51 2.63 3.58 3.04 2.15 -0.42 -0.70 -1.67 -2.08 -2.40 -2.69 -2.67 -2.63 -1.81